This record from the Alexandria database describes a geometry-optimized BaCaEuFeO6 structure. The functional is PBE+U.

As for the density of states at the Fermi level: 8.45 states/eV/f.u. As for the calculated volume: 550 Å³/cell. The calculation puts the total energy at -7.005 eV per atom.

The space group is F-43m (No. 216) and the conventional cell measures 8.194, 8.194 and 8.194 Å, with angles of 90.00, 90.00 and 90.00 degrees. The inequivalent atoms are Ba at (0.000, 0.000, 0.000), Ca at (0.250, 0.250, 0.250), Eu at (0.000, 0.000, 0.500), Fe at (0.250, 0.250, 0.750) and O at (0.022, 0.250, 0.750).